No. 1
Entry from the Alexandria database: a relaxed structure of CeBi4 (PBE).

**ΔH_f (0 K)**: 511 meV per atom
**Final energy**: -3.7805 eV per atom
**Energy above the most stable polymorph in this dataset**: 725 meV per atom

Unit cell a=5.9803 b=5.9803 c=5.9803 alpha=90.00 beta=90.00 gamma=90.00
Closest atoms and distances in Å follow each position.
Atoms (fractional coordinates):
Bi: 0.5000 0.0000 0.5000  2 Ce 2.99
Bi: 0.5000 0.5000 0.0000  2 Ce 2.99
Bi: 0.0000 0.0000 0.0000  12 Bi 4.23
Bi: 0.0000 0.5000 0.5000  2 Ce 2.99
Ce: 0.5000 0.5000 0.5000  6 Bi 2.99

No. 2
Entry from the Alexandria database: a relaxed structure of CaSmSc (PBE).

**ΔH_f (0 K)**: 109 meV per atom
**Final energy**: -4.2422 eV per atom
**Energy above the most stable polymorph in this dataset**: 0 meV per atom

Unit cell a=3.6043 b=3.6043 c=7.9101 alpha=103.17 beta=103.17 gamma=90.00
Closest atoms and distances in Å follow each position.
Atoms (fractional coordinates):
Sc: 0.6754 0.6754 0.3508  4 Sm 3.33, 4 Ca 3.60, 4 Sc 3.60
Sm: 0.3186 0.3186 0.6373  4 Sc 3.33, 4 Sm 3.60
Ca: 0.0060 0.0060 0.0120  4 Sc 3.60, 4 Ca 3.60, 4 Sm 3.79

The lowest ΔH_f (0 K) belongs to which entry? CaSmSc

Look up the energy above the most stable polymorph in this dataset of the second one. 0 meV per atom

What is the ΔH_f (0 K) in the first record? 511 meV per atom